[1]
This record from Alexandria describes a relaxed structure of La2Cu3AgGe4. The functional is PBE-GGA.

a = 4.333 Å, b = 4.333 Å, c = 10.228 Å
α = 90.00°, β = 90.00°, γ = 90.00°
Space group P-4m2 (No. 115)
Symmetry-distinct sites (fractional):
La 0.000 0.500 0.243 [2 per cell]
Cu 0.000 0.500 0.878 [2 per cell]
Cu 0.500 0.500 0.500 [1 per cell]
Ag 0.000 0.000 0.500 [1 per cell]
Ge 0.000 0.000 0.000 [1 per cell]
Ge 0.000 0.500 0.641 [2 per cell]
Ge 0.500 0.500 0.000 [1 per cell]

Values from the calculation:
Formation energy from the elements: -0.51 eV/atom

=====

[2]
This record from Alexandria describes a relaxed structure of La2YSe4. The functional is PBE-GGA.

a = 4.065 Å, b = 14.271 Å, c = 14.204 Å
α = 90.00°, β = 90.00°, γ = 90.00°
Space group Cmcm (No. 63)
Symmetry-distinct sites (fractional):
La 0.000 0.130 0.073 [8 per cell]
Y 0.000 0.372 0.250 [4 per cell]
Se 0.000 0.017 0.250 [4 per cell]
Se 0.000 0.219 0.626 [8 per cell]
Se 0.000 0.500 0.000 [4 per cell]

Values from the calculation:
E_form (uncorrected): -1.901 eV per atom
ΔE to the lowest computed polymorph: 0.000 eV per atom

=====

[3]
This record from Alexandria describes a relaxed structure of Nb2VCuNi. The functional is PBE-GGA.

a = 4.638 Å, b = 4.638 Å, c = 4.359 Å
α = 90.00°, β = 90.00°, γ = 90.00°
Space group P4/mmm (No. 123)
Symmetry-distinct sites (fractional):
Nb 0.000 0.500 0.000 [2 per cell]
V 0.000 0.000 0.500 [1 per cell]
Cu 0.000 0.000 0.000 [1 per cell]
Ni 0.500 0.500 0.500 [1 per cell]

Values from the calculation:
Formation energy from the elements: 1.33 eV/atom

=====

[4]
This record from Alexandria describes a relaxed structure of SbRuPb. The functional is PBE-GGA.

a = 4.5405 Å, b = 4.5405 Å, c = 4.0484 Å
α = 90.00°, β = 90.00°, γ = 120.00°
Space group P-6m2 (No. 187)
Symmetry-distinct sites (fractional):
Sb 0.0000 0.0000 0.0000 [1 per cell]
Ru 0.6667 0.3333 0.0000 [1 per cell]
Pb 0.3333 0.6667 0.5000 [1 per cell]

Values from the calculation:
E_form (uncorrected): 0.366 eV per atom
ΔE to the lowest computed polymorph: 0.348 eV per atom

=====

[5]
This record from Alexandria describes a relaxed structure of LiNi2Br. The functional is PBE-GGA.

a = 3.476 Å, b = 3.476 Å, c = 20.057 Å
α = 90.00°, β = 90.00°, γ = 90.00°
Space group I-42d (No. 122)
Symmetry-distinct sites (fractional):
Li 0.000 0.000 0.000 [4 per cell]
Ni 0.249 0.250 0.125 [8 per cell]
Br 0.000 0.000 0.500 [4 per cell]

Values from the calculation:
E_form (uncorrected): 0.136 eV per atom
ΔE to the lowest computed polymorph: 0.142 eV per atom

=====

[6]
This record from Alexandria describes a relaxed structure of LaPbCl2. The functional is PBE-GGA.

a = 4.960 Å, b = 4.960 Å, c = 19.729 Å
α = 90.00°, β = 90.00°, γ = 90.00°
Space group I-42d (No. 122)
Symmetry-distinct sites (fractional):
La 0.000 0.000 0.000 [4 per cell]
Pb 0.000 0.000 0.500 [4 per cell]
Cl 0.220 0.250 0.125 [8 per cell]

Values from the calculation:
E_form (uncorrected): -1.188 eV per atom
ΔE to the lowest computed polymorph: 0.169 eV per atom

=====

Quick rundown of calculated total energy, same order as above: -4.854, -6.224, -6.498, -5.336, -3.651, -4.270 eV/atom